1.
Entry from Alexandria via LeMat-Bulk: an optimized crystal structure of FeTcSbRu2 (PBE-GGA).

total moment: 4.02 Bohr magnetons per cell
E_form (uncorrected): 1935 meV per atom
Fermi-level density of states: 6.89 states/eV per cell
symmetry: P4/mmm (123)

Cell: 4.7681 4.7681 4.8359 Å, 90.00 90.00 90.00°
Element x y z (fractional)
Fe 0.0000 0.0000 0.0000
Tc 0.5000 0.5000 0.0000
Sb 0.5000 0.5000 0.5000
Ru 0.0000 0.5000 0.5000
Ru 0.5000 0.0000 0.5000

***

2.
Entry from Alexandria via LeMat-Bulk: an optimized crystal structure of ZrFeCo (PBE-GGA).

formation energy from the elements: -0.20 eV per formula unit
total moment: 3.48 Bohr magnetons per cell
Fermi-level density of states: 2.02 states/eV per cell
symmetry: I4mm (107)

Cell: 5.0358 5.0358 5.0358 Å, 143.48 143.48 52.61°
Element x y z (fractional)
Zr 0.0000 0.0000 0.0000
Fe 0.3179 0.3179 0.0000
Co 0.6780 0.6780 0.0000

***

3.
Entry from Alexandria via LeMat-Bulk: an optimized crystal structure of Nd3Zn6CdGa2 (PBE-GGA).

formation energy from the elements: -2.09 eV per formula unit
total moment: 0.00 Bohr magnetons per cell
Fermi-level density of states: 9.43 states/eV per cell
symmetry: P-3m1 (164)

Cell: 6.0325 6.0325 8.3573 Å, 90.00 90.00 120.00°
Element x y z (fractional)
Nd 0.0000 0.0000 0.0000
Nd 0.3333 0.6667 0.6263
Nd 0.6667 0.3333 0.3737
Zn 0.1888 0.3776 0.2758
Zn 0.1888 0.8112 0.2758
Zn 0.3776 0.1888 0.7242
Zn 0.6224 0.8112 0.2758
Zn 0.8112 0.1888 0.7242
Zn 0.8112 0.6224 0.7242
Cd 0.0000 0.0000 0.5000
Ga 0.3333 0.6667 0.9959
Ga 0.6667 0.3333 0.0041

***

4.
Entry from Alexandria via LeMat-Bulk: an optimized crystal structure of ZrFeSi (PBE-GGA).

total moment: 0.00 Bohr magnetons per cell
E_form (uncorrected): -463 meV per atom
Fermi-level density of states: 2.29 states/eV per cell
symmetry: Cm (8)

Cell: 4.2808 4.2808 6.6077 Å, 109.28 109.28 56.59°
Element x y z (fractional)
Zr 0.0000 0.0000 0.0000
Zr 0.1922 0.1922 0.5160
Fe 0.2904 0.2904 0.9319
Fe 0.4670 0.4670 0.3315
Si 0.5981 0.5981 0.7499
Si 0.7768 0.7768 0.2601